# LiY2I, relaxed, DFT PBE
data_LiY2I
_chemical_formula_sum 'Li4 Y8 I4'
_cell_length_a 7.566
_cell_length_b 7.566
_cell_length_c 7.566
_cell_angle_alpha 90.00
_cell_angle_beta 90.00
_cell_angle_gamma 90.00
_space_group_name_H-M_alt 'F m -3 m'
_space_group_IT_number 225
_space_group_name_Hall '-F 4 2 3'
loop_
_atom_site_label
_atom_site_fract_x
_atom_site_fract_y
_atom_site_fract_z
Li1 0.000 0.000 0.000
Y1 0.250 0.250 0.250
I1 0.000 0.000 0.500
# Calculated volume   27.1 Å³/atom
# Formation energy (no corrections)   -0.081 eV/atom
# ΔE to the lowest computed polymorph   0.00 eV per formula unit
# DOS(E_F)   19.66 states/eV per cell